# 1
Compound: PrPuBi2
Source: Alexandria via LeMat-Bulk
Functional: GGA-PBE
Structure: relaxed

Cell: 7.9066 7.9066 7.9066 Å, 90.00 90.00 90.00°
Space group Fm-3m (No. 225)
Unique sites:
Pr  0.0000  0.0000  0.0000 [4 per cell]
Pu  0.0000  0.0000  0.5000 [4 per cell]
Bi  0.2500  0.2500  0.2500 [8 per cell]

Properties
relative energy among the computed polymorphs: 135 meV/atom
calculated formation energy: -0.501 eV/atom

---

# 2
Compound: PrPuBi2
Source: Alexandria via LeMat-Bulk
Functional: GGA-PBE
Structure: relaxed

Cell: 5.9696 5.9696 3.4309 Å, 90.00 90.00 90.00°
Space group P4/mmm (No. 123)
Unique sites:
Pr  0.0000  0.0000  0.0000 [1 per cell]
Pu  0.5000  0.5000  0.0000 [1 per cell]
Bi  0.0000  0.5000  0.5000 [2 per cell]

Properties
relative energy among the computed polymorphs: 80 meV/atom
calculated formation energy: -0.557 eV/atom

---

# 3
Compound: PrPu3Bi4
Source: Alexandria via LeMat-Bulk
Functional: GGA-PBE
Structure: relaxed

Cell: 7.9045 9.1701 7.9008 Å, 90.00 109.71 90.00°
Space group P2/c (No. 13)
Unique sites:
Pr  0.0000  0.1252  0.2500 [2 per cell]
Pu  0.0000  0.3756  0.7500 [2 per cell]
Pu  0.5000  0.1250  0.7500 [2 per cell]
Pu  0.5000  0.3757  0.2500 [2 per cell]
Bi  0.2522  0.3778  0.5031 [4 per cell]
Bi  0.2564  0.1275  0.9995 [4 per cell]

Properties
calculated formation energy: -0.471 eV/atom

---

# 4
Compound: Pr5PuBi6
Source: Alexandria via LeMat-Bulk
Functional: GGA-PBE
Structure: relaxed

Cell: 8.0140 13.8762 8.0136 Å, 90.00 109.47 90.00°
Space group C2/m (No. 12)
Unique sites:
Pr  0.0000  0.0000  0.0000 [2 per cell]
Pr  0.0000  0.1661  0.5000 [4 per cell]
Pr  0.0000  0.3315  0.0000 [4 per cell]
Pu  0.0000  0.5000  0.5000 [2 per cell]
Bi  0.2465  0.3357  0.7470 [8 per cell]
Bi  0.2456  0.5000  0.2519 [4 per cell]

Properties
calculated formation energy: -0.849 eV/atom

---

# 5
Compound: Pr4PuBi5
Source: Alexandria via LeMat-Bulk
Functional: GGA-PBE
Structure: relaxed

Cell: 4.6264 4.6264 32.6584 Å, 90.00 90.00 90.00°
Space group I4/mmm (No. 139)
Unique sites:
Pr  0.0000  0.0000  0.1002 [4 per cell]
Pr  0.0000  0.0000  0.3004 [4 per cell]
Pu  0.0000  0.0000  0.5000 [2 per cell]
Bi  0.0000  0.0000  0.0000 [2 per cell]
Bi  0.0000  0.0000  0.2001 [4 per cell]
Bi  0.0000  0.0000  0.4014 [4 per cell]

Properties
calculated formation energy: -0.827 eV/atom

---

# 6
Compound: PrPuBi4Rh2
Source: Alexandria via LeMat-Bulk
Functional: GGA-PBE
Structure: relaxed

Cell: 4.8681 4.8681 9.7226 Å, 90.00 90.00 90.00°
Space group P4/mmm (No. 123)
Unique sites:
Pr  0.0000  0.0000  0.0000 [1 per cell]
Pu  0.0000  0.0000  0.5000 [1 per cell]
Bi  0.0000  0.5000  0.2420 [4 per cell]
Rh  0.5000  0.5000  0.3687 [2 per cell]

Properties
calculated formation energy: -0.229 eV/atom

---

# 7
Compound: PrPu2ScBi4
Source: Alexandria via LeMat-Bulk
Functional: GGA-PBE
Structure: relaxed

Cell: 7.7816 4.5140 7.8170 Å, 90.00 109.40 90.00°
Space group P2/m (No. 10)
Unique sites:
Pr  0.0000  0.0000  0.0000 [1 per cell]
Pu  0.5000  0.0000  0.5000 [1 per cell]
Pu  0.5000  0.5000  0.0000 [1 per cell]
Sc  0.0000  0.5000  0.5000 [1 per cell]
Bi  0.2405  0.0000  0.7351 [2 per cell]
Bi  0.2492  0.5000  0.2619 [2 per cell]

Properties
calculated formation energy: -0.531 eV/atom

---

# 8
Compound: PrPuSc2Bi4
Source: Alexandria via LeMat-Bulk
Functional: GGA-PBE
Structure: relaxed

Cell: 7.6439 4.4407 7.6948 Å, 90.00 109.55 90.00°
Space group P2/m (No. 10)
Unique sites:
Pr  0.0000  0.0000  0.0000 [1 per cell]
Pu  0.0000  0.5000  0.5000 [1 per cell]
Sc  0.5000  0.0000  0.5000 [1 per cell]
Sc  0.5000  0.5000  0.0000 [1 per cell]
Bi  0.2709  0.0000  0.7535 [2 per cell]
Bi  0.2731  0.5000  0.2612 [2 per cell]

Properties
calculated formation energy: -0.638 eV/atom

---

# 9
Compound: Pr2PuScBi4
Source: Alexandria via LeMat-Bulk
Functional: GGA-PBE
Structure: relaxed

Cell: 7.8267 4.5388 7.8333 Å, 90.00 109.47 90.00°
Space group P2/m (No. 10)
Unique sites:
Pr  0.0000  0.0000  0.0000 [1 per cell]
Pr  0.0000  0.5000  0.5000 [1 per cell]
Pu  0.5000  0.0000  0.5000 [1 per cell]
Sc  0.5000  0.5000  0.0000 [1 per cell]
Bi  0.2642  0.5000  0.2472 [2 per cell]
Bi  0.2697  0.0000  0.7639 [2 per cell]

Properties
calculated formation energy: -0.701 eV/atom

---

# 10
Compound: Pr2SmPuBi4
Source: Alexandria via LeMat-Bulk
Functional: GGA-PBE
Structure: relaxed

Cell: 7.9545 4.6008 7.9593 Å, 90.00 109.45 90.00°
Space group P2/m (No. 10)
Unique sites:
Pr  0.0000  0.0000  0.0000 [1 per cell]
Pr  0.0000  0.5000  0.5000 [1 per cell]
Sm  0.5000  0.0000  0.5000 [1 per cell]
Pu  0.5000  0.5000  0.0000 [1 per cell]
Bi  0.2563  0.5000  0.2507 [2 per cell]
Bi  0.2573  0.0000  0.7537 [2 per cell]

Properties
calculated formation energy: -0.786 eV/atom

---

Which value of calculated formation energy does entry 4 give? -0.849 eV/atom